(1)
Entry from the Alexandria database: crystalline Sc2BeFe at its relaxed geometry (PBE-GGA).

Structure (POSCAR):
```
Sc2BeFe
1.0
4.417 0.000 0.000
2.208 3.825 0.000
2.208 1.275 3.606
Sc Be Fe
2 1 1
direct
0.000 0.000 0.000
0.250 0.250 0.250
0.500 0.500 0.500
0.750 0.750 0.750
```



(2)
Entry from the Alexandria database: crystalline ScBe8Fe3 at its relaxed geometry (PBE-GGA).

Structure (POSCAR):
```
ScBe8Fe3
1.0
-0.489 3.952 -1.553
-0.629 -3.385 -2.533
-6.844 -0.118 1.856
Sc Be Fe
1 8 3
direct
0.000 0.000 0.561
0.333 0.667 0.490
0.333 0.667 0.002
0.503 0.006 0.769
0.503 0.497 0.769
0.994 0.497 0.769
0.165 0.330 0.238
0.165 0.835 0.238
0.670 0.835 0.238
0.667 0.333 0.416
0.667 0.333 0.068
0.000 0.000 0.943
```



(3)
Entry from the Alexandria database: crystalline Sc2BeFe at its relaxed geometry (PBE-GGA).

Structure (POSCAR):
```
Sc2BeFe
1.0
-0.297 -7.954 -1.236
2.025 -7.108 -3.201
2.646 -7.606 -0.146
Sc Be Fe
2 1 1
direct
0.003 0.003 0.003
0.497 0.497 0.497
0.250 0.250 0.250
0.750 0.750 0.750
```



(4)
Entry from the Alexandria database: crystalline ScBeFe4 at its relaxed geometry (PBE-GGA).

Structure (POSCAR):
```
ScBeFe4
1.0
0.000 3.350 3.350
3.350 0.000 3.350
3.350 3.350 0.000
Sc Be Fe
1 1 4
direct
0.750 0.750 0.750
0.000 0.000 0.000
0.878 0.374 0.374
0.374 0.374 0.878
0.374 0.878 0.374
0.374 0.374 0.374
```



no.,energy (Ry per atom),formation energy (eV/atom)
1,-0.444,0.1728
2,-0.392,-0.2076
3,-0.436,0.2822
4,-0.538,-0.0003